V6O11F after structural relaxation. Source: Alexandria via LeMat-Bulk, functional PBE+U.

Results
DFT total energy	-0.2819	Ha/atom
D(E_F)	0.00	states/eV per atom

Lattice parameters (Å, degrees): 5.472 5.472 7.215 72.34 72.34 71.34
Last column: magnetic moment on the atom in μB.
Fractional positions:
V (0.349, 0.349, 0.669)  1.17
O (0.445, 0.445, 0.361)  -0.07
O (0.296, 0.705, 0.995)  -0.07
V (0.994, 0.994, 0.016)  1.14
F (0.101, 0.101, 0.703)  -0.01
O (0.234, 0.234, 0.966)  -0.07
O (0.367, 0.977, 0.331)  -0.07
V (0.995, 0.995, 0.492)  1.86
O (0.705, 0.296, 0.995)  -0.07
V (0.325, 0.325, 0.164)  1.17
V (0.669, 0.669, 0.839)  1.12
V (0.660, 0.660, 0.332)  1.06
O (0.572, 0.572, 0.632)  -0.05
O (0.622, 0.035, 0.672)  -0.08
O (0.977, 0.367, 0.331)  -0.07
O (0.763, 0.763, 0.033)  -0.07
O (0.035, 0.622, 0.672)  -0.08
O (0.891, 0.891, 0.298)  -0.06